Record 1
# GaReTc3 | the Alexandria database | PBE | relaxed
# M_tot in μB/cell: 0.0
# DFT formation energy in eV/atom: 1.658
# DOS at the Fermi energy in states/eV/f.u.: 4.0
# Symmetry: Pm-3m
data_GaReTc3
_cell_length_a 4.415
_cell_length_b 4.415
_cell_length_c 4.415
_cell_angle_alpha 90.00
_cell_angle_beta 90.00
_cell_angle_gamma 90.00
_symmetry_space_group_name_H-M 'P 1'
_symmetry_Int_Tables_number 1
_symmetry_space_group_name_Hall 'P 1'
loop_
_atom_site_label
_atom_site_type_symbol
_atom_site_fract_x
_atom_site_fract_y
_atom_site_fract_z
Re1 Re 0.500 0.500 0.500
Tc1 Tc 0.000 0.500 0.000
Tc2 Tc 0.000 0.000 0.500
Tc3 Tc 0.500 0.000 0.000
Ga1 Ga 0.000 0.000 0.000

---

Record 2
# GaReTc | the Alexandria database | PBE | relaxed
# M_tot in μB/cell: 0.0
# DFT formation energy in eV/atom: -0.025
# DOS at the Fermi energy in states/eV/f.u.: 2.4
# Symmetry: P-1
data_GaReTc
_cell_length_a 2.828
_cell_length_b 4.521
_cell_length_c 7.113
_cell_angle_alpha 90.11
_cell_angle_beta 101.45
_cell_angle_gamma 90.01
_symmetry_space_group_name_H-M 'P 1'
_symmetry_Int_Tables_number 1
_symmetry_space_group_name_Hall 'P 1'
loop_
_atom_site_label
_atom_site_type_symbol
_atom_site_fract_x
_atom_site_fract_y
_atom_site_fract_z
Ga1 Ga 0.720 0.251 0.945
Ga2 Ga 0.280 0.749 0.055
Re1 Re 0.050 0.250 0.606
Re2 Re 0.950 0.750 0.394
Tc1 Tc 0.390 0.249 0.280
Tc2 Tc 0.610 0.751 0.720

---

Record 3
# GaReTc | the Alexandria database | PBE | relaxed
# M_tot in μB/cell: 0.0
# DFT formation energy in eV/atom: 0.063
# DOS at the Fermi energy in states/eV/f.u.: 1.7
# Symmetry: Pnma
data_GaReTc
_cell_length_a 2.886
_cell_length_b 4.440
_cell_length_c 13.822
_cell_angle_alpha 90.00
_cell_angle_beta 90.00
_cell_angle_gamma 90.00
_symmetry_space_group_name_H-M 'P 1'
_symmetry_Int_Tables_number 1
_symmetry_space_group_name_Hall 'P 1'
loop_
_atom_site_label
_atom_site_type_symbol
_atom_site_fract_x
_atom_site_fract_y
_atom_site_fract_z
Re1 Re 0.250 0.385 0.605
Re2 Re 0.250 0.115 0.105
Re3 Re 0.750 0.615 0.395
Re4 Re 0.750 0.885 0.895
Tc1 Tc 0.250 0.897 0.731
Tc2 Tc 0.250 0.603 0.231
Tc3 Tc 0.750 0.103 0.269
Tc4 Tc 0.750 0.397 0.769
Ga1 Ga 0.250 0.379 0.927
Ga2 Ga 0.250 0.121 0.427
Ga3 Ga 0.750 0.621 0.073
Ga4 Ga 0.750 0.879 0.573

---

Record 4
# GaReTc3 | the Alexandria database | PBE | relaxed
# M_tot in μB/cell: 2.4
# DFT formation energy in eV/atom: 1.629
# DOS at the Fermi energy in states/eV/f.u.: 5.3
# Symmetry: Pm-3m
data_GaReTc3
_cell_length_a 4.710
_cell_length_b 4.710
_cell_length_c 4.710
_cell_angle_alpha 90.00
_cell_angle_beta 90.00
_cell_angle_gamma 90.00
_symmetry_space_group_name_H-M 'P 1'
_symmetry_Int_Tables_number 1
_symmetry_space_group_name_Hall 'P 1'
loop_
_atom_site_label
_atom_site_type_symbol
_atom_site_fract_x
_atom_site_fract_y
_atom_site_fract_z
Re1 Re 0.000 0.000 0.000
Tc1 Tc 0.000 0.500 0.000
Tc2 Tc 0.000 0.000 0.500
Tc3 Tc 0.500 0.000 0.000
Ga1 Ga 0.500 0.500 0.500

---

Record 5
# GaReTc4 | the Alexandria database | PBE | relaxed
# M_tot in μB/cell: 0.0
# DFT formation energy in eV/atom: 0.134
# DOS at the Fermi energy in states/eV/f.u.: 4.5
# Symmetry: P2/m
data_GaReTc4
_cell_length_a 2.758
_cell_length_b 5.153
_cell_length_c 7.486
_cell_angle_alpha 92.07
_cell_angle_beta 86.12
_cell_angle_gamma 122.36
_symmetry_space_group_name_H-M 'P 1'
_symmetry_Int_Tables_number 1
_symmetry_space_group_name_Hall 'P 1'
loop_
_atom_site_label
_atom_site_type_symbol
_atom_site_fract_x
_atom_site_fract_y
_atom_site_fract_z
Ga1 Ga 0.997 0.001 0.502
Re1 Re 0.497 0.501 0.002
Tc1 Tc 0.129 0.501 0.666
Tc2 Tc 0.865 0.501 0.338
Tc3 Tc 0.509 0.001 0.166
Tc4 Tc 0.485 0.001 0.837

---

Record 6
# GaRe2Tc2 | the Alexandria database | PBE | relaxed
# M_tot in μB/cell: 0.0
# DFT formation energy in eV/atom: 0.023
# DOS at the Fermi energy in states/eV/f.u.: 4.7
# Symmetry: C2/m
data_GaRe2Tc2
_cell_length_a 3.930
_cell_length_b 5.633
_cell_length_c 8.139
_cell_angle_alpha 121.36
_cell_angle_beta 103.97
_cell_angle_gamma 90.00
_symmetry_space_group_name_H-M 'P 1'
_symmetry_Int_Tables_number 1
_symmetry_space_group_name_Hall 'P 1'
loop_
_atom_site_label
_atom_site_type_symbol
_atom_site_fract_x
_atom_site_fract_y
_atom_site_fract_z
Ga1 Ga 0.000 0.250 0.000
Ga2 Ga 0.000 0.750 0.000
Re1 Re 0.200 0.548 0.399
Re2 Re 0.800 0.952 0.601
Re3 Re 0.800 0.452 0.601
Re4 Re 0.200 0.048 0.399
Tc1 Tc 0.401 0.855 0.803
Tc2 Tc 0.401 0.355 0.803
Tc3 Tc 0.599 0.145 0.197
Tc4 Tc 0.599 0.645 0.197

---

Record 7
# TiGaReTc | the Alexandria database | PBE | relaxed
# M_tot in μB/cell: 0.0
# DFT formation energy in eV/atom: -0.144
# DOS at the Fermi energy in states/eV/f.u.: 4.7
# Symmetry: F-43m
data_TiGaReTc
_cell_length_a 4.375
_cell_length_b 4.375
_cell_length_c 4.375
_cell_angle_alpha 60.00
_cell_angle_beta 60.00
_cell_angle_gamma 60.00
_symmetry_space_group_name_H-M 'P 1'
_symmetry_Int_Tables_number 1
_symmetry_space_group_name_Hall 'P 1'
loop_
_atom_site_label
_atom_site_type_symbol
_atom_site_fract_x
_atom_site_fract_y
_atom_site_fract_z
Re1 Re 0.500 0.500 0.500
Tc1 Tc 0.000 0.000 0.000
Ga1 Ga 0.750 0.750 0.750
Ti1 Ti 0.250 0.250 0.250

---

Record 8
# VGaReTc | the Alexandria database | PBE | relaxed
# M_tot in μB/cell: 0.0
# DFT formation energy in eV/atom: -0.137
# DOS at the Fermi energy in states/eV/f.u.: 3.9
# Symmetry: F-43m
data_VGaReTc
_cell_length_a 4.315
_cell_length_b 4.315
_cell_length_c 4.315
_cell_angle_alpha 60.00
_cell_angle_beta 60.00
_cell_angle_gamma 60.00
_symmetry_space_group_name_H-M 'P 1'
_symmetry_Int_Tables_number 1
_symmetry_space_group_name_Hall 'P 1'
loop_
_atom_site_label
_atom_site_type_symbol
_atom_site_fract_x
_atom_site_fract_y
_atom_site_fract_z
Re1 Re 0.500 0.500 0.500
Tc1 Tc 0.000 0.000 0.000
Ga1 Ga 0.250 0.250 0.250
V1 V 0.750 0.750 0.750

---

Record 9
# GaReTe2 | the Alexandria database | PBE | relaxed
# M_tot in μB/cell: 0.0
# Raw formation energy in eV/atom: 0.373
# DOS at the Fermi energy in states/eV/f.u.: 3.5
# Symmetry: R-3m
data_GaReTe2
_cell_length_a 10.380
_cell_length_b 10.380
_cell_length_c 10.380
_cell_angle_alpha 18.74
_cell_angle_beta 18.74
_cell_angle_gamma 18.74
_symmetry_space_group_name_H-M 'P 1'
_symmetry_Int_Tables_number 1
_symmetry_space_group_name_Hall 'P 1'
loop_
_atom_site_label
_atom_site_type_symbol
_atom_site_fract_x
_atom_site_fract_y
_atom_site_fract_z
Re1 Re 0.500 0.500 0.500
Te1 Te 0.896 0.896 0.896
Te2 Te 0.104 0.104 0.104
Ga1 Ga 0.000 0.000 0.000

---

Record 10
# Ga2ReTe | the Alexandria database | PBE | relaxed
# M_tot in μB/cell: 2.0
# Raw formation energy in eV/atom: 0.823
# DOS at the Fermi energy in states/eV/f.u.: 1.3
# Symmetry: I-42d
data_Ga2ReTe
_cell_length_a 6.073
_cell_length_b 6.073
_cell_length_c 7.397
_cell_angle_alpha 65.76
_cell_angle_beta 65.76
_cell_angle_gamma 90.00
_symmetry_space_group_name_H-M 'P 1'
_symmetry_Int_Tables_number 1
_symmetry_space_group_name_Hall 'P 1'
loop_
_atom_site_label
_atom_site_type_symbol
_atom_site_fract_x
_atom_site_fract_y
_atom_site_fract_z
Re1 Re 0.000 0.000 0.000
Re2 Re 0.750 0.250 0.500
Te1 Te 0.500 0.500 0.000
Te2 Te 0.250 0.750 0.500
Ga1 Ga 0.670 0.125 0.250
Ga2 Ga 0.080 0.625 0.250
Ga3 Ga 0.375 0.330 0.750
Ga4 Ga 0.875 0.920 0.750

---

Record 11
# GaReTe2 | the Alexandria database | PBE | relaxed
# M_tot in μB/cell: 0.0
# Raw formation energy in eV/atom: 0.743
# DOS at the Fermi energy in states/eV/f.u.: 3.5
# Symmetry: R-3m
data_GaReTe2
_cell_length_a 11.464
_cell_length_b 11.464
_cell_length_c 11.464
_cell_angle_alpha 15.40
_cell_angle_beta 15.40
_cell_angle_gamma 15.40
_symmetry_space_group_name_H-M 'P 1'
_symmetry_Int_Tables_number 1
_symmetry_space_group_name_Hall 'P 1'
loop_
_atom_site_label
_atom_site_type_symbol
_atom_site_fract_x
_atom_site_fract_y
_atom_site_fract_z
Re1 Re 0.000 0.000 0.000
Te1 Te 0.922 0.922 0.922
Te2 Te 0.078 0.078 0.078
Ga1 Ga 0.500 0.500 0.500

---

Record 12
# GaReTe2 | the Alexandria database | PBE | relaxed
# M_tot in μB/cell: 0.0
# Raw formation energy in eV/atom: 0.487
# DOS at the Fermi energy in states/eV/f.u.: 2.2
# Symmetry: I-42d
data_GaReTe2
_cell_length_a 6.496
_cell_length_b 6.496
_cell_length_c 7.441
_cell_angle_alpha 64.12
_cell_angle_beta 64.12
_cell_angle_gamma 90.00
_symmetry_space_group_name_H-M 'P 1'
_symmetry_Int_Tables_number 1
_symmetry_space_group_name_Hall 'P 1'
loop_
_atom_site_label
_atom_site_type_symbol
_atom_site_fract_x
_atom_site_fract_y
_atom_site_fract_z
Re1 Re 0.000 0.000 0.000
Re2 Re 0.750 0.250 0.500
Te1 Te 0.665 0.125 0.250
Te2 Te 0.085 0.625 0.250
Te3 Te 0.375 0.335 0.750
Te4 Te 0.875 0.915 0.750
Ga1 Ga 0.500 0.500 0.000
Ga2 Ga 0.250 0.750 0.500

---

Record 13
# TlGaRe2Te | the Alexandria database | PBE | relaxed
# M_tot in μB/cell: 2.9
# Raw formation energy in eV/atom: 2.020
# DOS at the Fermi energy in states/eV/f.u.: 4.9
# Symmetry: P4/mmm
data_TlGaRe2Te
_cell_length_a 4.946
_cell_length_b 6.044
_cell_length_c 4.946
_cell_angle_alpha 90.00
_cell_angle_beta 90.00
_cell_angle_gamma 90.00
_symmetry_space_group_name_H-M 'P 1'
_symmetry_Int_Tables_number 1
_symmetry_space_group_name_Hall 'P 1'
loop_
_atom_site_label
_atom_site_type_symbol
_atom_site_fract_x
_atom_site_fract_y
_atom_site_fract_z
Re1 Re 0.000 0.000 0.500
Re2 Re 0.500 0.000 0.000
Tl1 Tl 0.000 0.500 0.000
Te1 Te 0.000 0.000 0.000
Ga1 Ga 0.500 0.500 0.500